(1)
The following is a DFT calculation (PBEsol) of a relaxed TePRhI2 crystal.

**DOS(E_F)**: 4.6 states/eV/f.u.
**Uncorrected formation energy**: 67.03 kJ/mol of atoms

a = 5.229 Å, b = 5.229 Å, c = 5.043 Å
α = 90.00°, β = 90.00°, γ = 90.00°
Space group P4/mmm (No. 123)
Unique sites:
1 Te 0.000 0.000 0.000 x1
2 P 0.500 0.500 0.000 x1
3 Rh 0.000 0.000 0.500 x1
4 I 0.000 0.500 0.500 x2

(2)
The following is a DFT calculation (PBEsol) of a relaxed P2RuI crystal.

**DOS(E_F)**: 2.9 states/eV/f.u.
**Uncorrected formation energy**: 22.55 kJ/mol of atoms

a = 6.324 Å, b = 6.324 Å, c = 9.514 Å
α = 90.00°, β = 90.00°, γ = 90.00°
Space group I-42d (No. 122)
Unique sites:
1 P 0.147 0.250 0.125 x8
2 Ru 0.000 0.000 0.000 x4
3 I 0.000 0.000 0.500 x4

(3)
The following is a DFT calculation (PBEsol) of a relaxed P2S2I crystal.

**DOS(E_F)**: 3.6 states/eV/f.u.
**Uncorrected formation energy**: 79.04 kJ/mol of atoms

a = 4.684 Å, b = 4.684 Å, c = 4.439 Å
α = 90.00°, β = 90.00°, γ = 90.00°
Space group P4/mmm (No. 123)
Unique sites:
1 P 0.000 0.500 0.000 x2
2 S 0.000 0.000 0.000 x1
3 S 0.000 0.000 0.500 x1
4 I 0.500 0.500 0.500 x1

(4)
The following is a DFT calculation (PBEsol) of a relaxed P4S3I2 crystal.

**Excess energy over the best structure of this formula in the dataset**: 0 meV/atom
**DOS(E_F)**: 0.0 states/eV/f.u.
**Uncorrected formation energy**: -10.83 kJ/mol of atoms

a = 7.212 Å, b = 7.242 Å, c = 19.699 Å
α = 84.67°, β = 89.49°, γ = 89.87°
Space group P-1 (No. 2)
Unique sites:
1 P 0.013 0.092 0.384 x2
2 P 0.062 0.017 0.886 x2
3 P 0.071 0.556 0.400 x2
4 P 0.102 0.227 0.959 x2
5 P 0.178 0.510 0.658 x2
6 P 0.216 0.890 0.541 x2
7 P 0.450 0.214 0.840 x2
8 P 0.468 0.049 0.102 x2
9 S 0.093 0.750 0.701 x2
10 S 0.173 0.290 0.433 x2
11 S 0.197 0.143 0.799 x2
12 S 0.273 0.843 0.933 x2
13 S 0.319 0.619 0.567 x2
14 S 0.368 0.333 0.932 x2
15 I 0.112 0.539 0.099 x2
16 I 0.271 0.647 0.298 x2
17 I 0.400 0.225 0.202 x2
18 I 0.434 0.089 0.600 x2

(5)
The following is a DFT calculation (PBEsol) of a relaxed P4S3I2 crystal.

**Excess energy over the best structure of this formula in the dataset**: 5 meV/atom
**Uncorrected formation energy**: -10.32 kJ/mol of atoms

a = 9.048 Å, b = 16.172 Å, c = 6.574 Å
α = 90.00°, β = 90.00°, γ = 90.00°
Space group Pnma (No. 62)
Unique sites:
1 P 0.008 0.146 0.031 x8
2 P 0.124 0.250 0.189 x4
3 P 0.240 0.750 0.240 x4
4 S 0.114 0.147 0.741 x8
5 S 0.169 0.750 0.544 x4
6 I 0.150 0.038 0.218 x8

(6)
The following is a DFT calculation (PBEsol) of a relaxed TaP2SI crystal.

**DOS(E_F)**: 3.9 states/eV/f.u.
**Uncorrected formation energy**: 178.08 kJ/mol of atoms

a = 4.873 Å, b = 4.873 Å, c = 4.832 Å
α = 90.00°, β = 90.00°, γ = 90.00°
Space group P4/mmm (No. 123)
Unique sites:
1 Ta 0.000 0.000 0.000 x1
2 P 0.000 0.500 0.500 x2
3 S 0.500 0.500 0.000 x1
4 I 0.500 0.500 0.500 x1

(7)
The following is a DFT calculation (PBEsol) of a relaxed ZrPS2I crystal.

**Excess energy over the best structure of this formula in the dataset**: 0 meV/atom
**DOS(E_F)**: 4.0 states/eV/f.u.
**Uncorrected formation energy**: -13.29 kJ/mol of atoms

a = 4.810 Å, b = 4.810 Å, c = 5.405 Å
α = 90.00°, β = 90.00°, γ = 90.00°
Space group P4/mmm (No. 123)
Unique sites:
1 Zr 0.000 0.000 0.000 x1
2 P 0.000 0.000 0.500 x1
3 S 0.000 0.500 0.000 x2
4 I 0.500 0.500 0.500 x1

(8)
The following is a DFT calculation (PBEsol) of a relaxed ZrPS2I crystal.

**Excess energy over the best structure of this formula in the dataset**: 1063 meV/atom
**DOS(E_F)**: 3.5 states/eV/f.u.
**Uncorrected formation energy**: 89.24 kJ/mol of atoms

a = 4.889 Å, b = 4.889 Å, c = 4.989 Å
α = 90.00°, β = 90.00°, γ = 90.00°
Space group P4/mmm (No. 123)
Unique sites:
1 Zr 0.000 0.000 0.000 x1
2 P 0.500 0.500 0.000 x1
3 S 0.000 0.500 0.500 x2
4 I 0.500 0.500 0.500 x1

(9)
The following is a DFT calculation (PBEsol) of a relaxed SbP2I crystal.

**DOS(E_F)**: 2.5 states/eV/f.u.
**Uncorrected formation energy**: 55.44 kJ/mol of atoms

a = 7.172 Å, b = 7.172 Å, c = 8.329 Å
α = 90.00°, β = 90.00°, γ = 90.00°
Space group I-42d (No. 122)
Unique sites:
1 Sb 0.000 0.000 0.000 x4
2 P 0.215 0.250 0.125 x8
3 I 0.000 0.000 0.500 x4

(10)
The following is a DFT calculation (PBEsol) of a relaxed SbPI3 crystal.

**DOS(E_F)**: 3.0 states/eV/f.u.
**Uncorrected formation energy**: 39.89 kJ/mol of atoms

a = 5.373 Å, b = 5.373 Å, c = 5.373 Å
α = 90.00°, β = 90.00°, γ = 90.00°
Space group Pm-3m (No. 221)
Unique sites:
1 Sb 0.000 0.000 0.000 x1
2 P 0.500 0.500 0.500 x1
3 I 0.000 0.500 0.500 x3

(11)
The following is a DFT calculation (PBEsol) of a relaxed ScSbPI2 crystal.

**DOS(E_F)**: 3.2 states/eV/f.u.
**Uncorrected formation energy**: 29.10 kJ/mol of atoms

a = 5.237 Å, b = 5.237 Å, c = 5.284 Å
α = 90.00°, β = 90.00°, γ = 90.00°
Space group P4/mmm (No. 123)
Unique sites:
1 Sc 0.000 0.000 0.000 x1
2 Sb 0.500 0.500 0.000 x1
3 P 0.500 0.500 0.500 x1
4 I 0.000 0.500 0.500 x2

(12)
The following is a DFT calculation (PBEsol) of a relaxed SiSbPI2 crystal.

**DOS(E_F)**: 4.1 states/eV/f.u.
**Uncorrected formation energy**: 76.02 kJ/mol of atoms

a = 5.260 Å, b = 5.260 Å, c = 5.285 Å
α = 90.00°, β = 90.00°, γ = 90.00°
Space group P4/mmm (No. 123)
Unique sites:
1 Si 0.000 0.000 0.000 x1
2 Sb 0.500 0.500 0.000 x1
3 P 0.500 0.500 0.500 x1
4 I 0.000 0.500 0.500 x2

(13)
The following is a DFT calculation (PBEsol) of a relaxed SnSbPI2 crystal.

**DOS(E_F)**: 2.1 states/eV/f.u.
**Uncorrected formation energy**: 83.20 kJ/mol of atoms

a = 5.788 Å, b = 5.788 Å, c = 5.874 Å
α = 90.00°, β = 90.00°, γ = 90.00°
Space group P4/mmm (No. 123)
Unique sites:
1 Sn 0.000 0.000 0.000 x1
2 Sb 0.000 0.000 0.500 x1
3 P 0.500 0.500 0.500 x1
4 I 0.000 0.500 0.000 x2

(14)
The following is a DFT calculation (PBEsol) of a relaxed ScPI2 crystal.

**DOS(E_F)**: 2.9 states/eV/f.u.
**Uncorrected formation energy**: -5.07 kJ/mol of atoms

a = 7.188 Å, b = 7.188 Å, c = 7.188 Å
α = 90.00°, β = 90.00°, γ = 90.00°
Space group Fm-3m (No. 225)
Unique sites:
1 Sc 0.000 0.000 0.000 x4
2 P 0.000 0.000 0.500 x4
3 I 0.250 0.250 0.250 x8

(15)
The following is a DFT calculation (PBEsol) of a relaxed ScTe2PI crystal.

**DOS(E_F)**: 2.7 states/eV/f.u.
**Uncorrected formation energy**: 12.03 kJ/mol of atoms

a = 5.172 Å, b = 5.172 Å, c = 5.270 Å
α = 90.00°, β = 90.00°, γ = 90.00°
Space group P4/mmm (No. 123)
Unique sites:
1 Sc 0.000 0.000 0.000 x1
2 Te 0.000 0.500 0.500 x2
3 P 0.500 0.500 0.500 x1
4 I 0.500 0.500 0.000 x1

(16)
The following is a DFT calculation (PBEsol) of a relaxed P4Se3I2 crystal.

**Excess energy over the best structure of this formula in the dataset**: 0 meV/atom
**Uncorrected formation energy**: -2.98 kJ/mol of atoms

a = 11.754 Å, b = 11.754 Å, c = 15.239 Å
α = 90.00°, β = 90.00°, γ = 90.00°
Space group I-42d (No. 122)
Unique sites:
1 P 0.015 0.643 0.021 x16
2 P 0.116 0.627 0.387 x16
3 Se 0.000 0.000 0.327 x8
4 Se 0.079 0.137 0.877 x16
5 I 0.156 0.712 0.761 x16

(17)
The following is a DFT calculation (PBEsol) of a relaxed P4Se3I2 crystal.

**Excess energy over the best structure of this formula in the dataset**: 9 meV/atom
**Uncorrected formation energy**: -2.09 kJ/mol of atoms

a = 9.427 Å, b = 16.074 Å, c = 6.761 Å
α = 90.00°, β = 90.00°, γ = 90.00°
Space group Pnma (No. 62)
Unique sites:
1 P 0.011 0.146 0.043 x8
2 P 0.126 0.250 0.187 x4
3 P 0.237 0.750 0.229 x4
4 Se 0.112 0.139 0.734 x8
5 Se 0.158 0.750 0.545 x4
6 I 0.148 0.035 0.219 x8

(18)
The following is a DFT calculation (PBEsol) of a relaxed P2SeI crystal.

**DOS(E_F)**: 2.3 states/eV/f.u.
**Uncorrected formation energy**: 78.90 kJ/mol of atoms

a = 6.769 Å, b = 6.769 Å, c = 6.769 Å
α = 90.00°, β = 90.00°, γ = 90.00°
Space group Fm-3m (No. 225)
Unique sites:
1 P 0.250 0.250 0.250 x8
2 Se 0.000 0.000 0.000 x4
3 I 0.000 0.000 0.500 x4

(19)
The following is a DFT calculation (PBEsol) of a relaxed P3Se4I crystal.

**Uncorrected formation energy**: -0.96 kJ/mol of atoms

a = 11.077 Å, b = 6.557 Å, c = 13.949 Å
α = 90.00°, β = 116.70°, γ = 90.00°
Space group P2_1/c (No. 14)
Unique sites:
1 P 0.171 0.143 0.012 x4
2 P 0.202 0.683 0.552 x4
3 P 0.326 0.618 0.369 x4
4 Se 0.025 0.740 0.889 x4
5 Se 0.134 0.710 0.774 x4
6 Se 0.247 0.194 0.888 x4
7 Se 0.389 0.741 0.035 x4
8 I 0.361 0.234 0.686 x4

(20)
The following is a DFT calculation (PBEsol) of a relaxed SiP2I crystal.

**DOS(E_F)**: 2.8 states/eV/f.u.
**Uncorrected formation energy**: 40.53 kJ/mol of atoms

a = 6.639 Å, b = 6.639 Å, c = 8.085 Å
α = 90.00°, β = 90.00°, γ = 90.00°
Space group I-42d (No. 122)
Unique sites:
1 Si 0.000 0.000 0.000 x4
2 P 0.173 0.250 0.125 x8
3 I 0.000 0.000 0.500 x4